(1)
KMgTa2: optimized geometry, GGA-PBEsol.

Structure (POSCAR):
```
KMgTa2
1.0
2.920 0.000 0.000
0.000 5.095 0.000
0.000 0.000 5.766
K Mg Ta
1 1 2
direct
0.000 0.000 0.000 K
0.500 0.500 0.000 Mg
0.000 0.500 0.500 Ta
0.500 0.000 0.500 Ta
```

Space group: No. 47

---

(2)
KMgTa2: optimized geometry, GGA-PBEsol.

Structure (POSCAR):
```
KMgTa2
1.0
0.000 3.471 3.471
3.471 0.000 3.471
3.471 3.471 0.000
K Mg Ta
1 1 2
direct
0.000 0.000 0.000 K
0.750 0.750 0.750 Mg
0.250 0.250 0.250 Ta
0.500 0.500 0.500 Ta
```

Space group: No. 216

---

(3)
KMgTc2: optimized geometry, GGA-PBEsol.

Structure (POSCAR):
```
KMgTc2
1.0
0.000 3.261 3.261
3.261 0.000 3.261
3.261 3.261 0.000
K Mg Tc
1 1 2
direct
0.000 0.000 0.000 K
0.750 0.750 0.750 Mg
0.250 0.250 0.250 Tc
0.500 0.500 0.500 Tc
```

Space group: No. 216

---

(4)
KMgTc2: optimized geometry, GGA-PBEsol.

Structure (POSCAR):
```
KMgTc2
1.0
2.672 0.000 0.000
0.000 4.641 0.000
-0.639 0.000 7.108
K Mg Tc
1 1 2
direct
0.000 0.000 0.000 K
0.000 0.000 0.500 Mg
0.461 0.500 0.346 Tc
0.539 0.500 0.654 Tc
```

Space group: No. 10

---

| no. | electronic total energy (eV/atom) | energy of formation (eV/atom) |
| --- | --- | --- |
| 1 | -5.909 | 1.079 |
| 2 | -5.683 | 1.305 |
| 3 | -5.147 | 1.198 |
| 4 | -5.497 | 0.848 |